Ac5Rh4Cl GGA-PBE optimized geometry; uncorrected energy = -6.052 eV per atom; N(E_F) = 0.349 states/eV per atom; space-group type = Immm (71)
1.0
-2.158 3.039 11.004
2.158 -3.039 11.004
2.158 3.039 -11.004
Ac Rh Cl
5 4 1
Direct
0.000 0.000 0.000
0.196 0.196 0.000
0.385 0.385 0.000
0.615 0.615 0.000
0.804 0.804 0.000
0.094 0.594 0.500
0.295 0.795 0.500
0.705 0.205 0.500
0.906 0.406 0.500
0.500 0.000 0.500